(1)
# InCo2IrC, relaxed, DFT PBE
# total energy	-34.6	eV per formula unit
# energy above the lowest structure with this stoichiometry	0.000	eV per atom
# energy relative to the elements	0.090	eV/atom
# magnetic moment	1.259	μB/f.u.
data_InCo2IrC
_chemical_formula_sum 'In1 Co2 Ir1 C1'
_space_group_name_H-M_alt 'P 1'
_space_group_IT_number 1
_space_group_name_Hall 'P 1'
_cell_length_a 3.928
_cell_length_b 3.928
_cell_length_c 4.046
_cell_angle_alpha 90.00
_cell_angle_beta 90.00
_cell_angle_gamma 90.00
loop_
_atom_site_label
_atom_site_type_symbol
_atom_site_fract_x
_atom_site_fract_y
_atom_site_fract_z
C1 C 0.000 0.000 0.000
Ir1 Ir 0.000 0.000 0.500
Co1 Co 0.000 0.500 0.000
Co2 Co 0.500 0.000 0.000
In1 In 0.500 0.500 0.500

***

(2)
# Th3SbH3, relaxed, DFT PBE
# total energy	-39.5	eV per formula unit
# energy above the lowest structure with this stoichiometry	0.000	eV per atom
# magnetic moment	0.000	μB/f.u.
data_Th3SbH3
_chemical_formula_sum 'Th6 Sb2 H6'
_space_group_name_H-M_alt 'P 1'
_space_group_IT_number 1
_space_group_name_Hall 'P 1'
_cell_length_a 6.465
_cell_length_b 6.465
_cell_length_c 6.465
_cell_angle_alpha 90.00
_cell_angle_beta 90.00
_cell_angle_gamma 90.00
loop_
_atom_site_label
_atom_site_type_symbol
_atom_site_fract_x
_atom_site_fract_y
_atom_site_fract_z
Sb1 Sb 0.500 0.500 0.500
Sb2 Sb 0.000 0.000 0.000
Th1 Th 0.000 0.250 0.500
Th2 Th 0.000 0.750 0.500
Th3 Th 0.500 0.000 0.750
Th4 Th 0.750 0.500 0.000
Th5 Th 0.500 0.000 0.250
Th6 Th 0.250 0.500 0.000
H1 H 0.250 0.000 0.500
H2 H 0.000 0.500 0.250
H3 H 0.500 0.750 0.000
H4 H 0.750 0.000 0.500
H5 H 0.000 0.500 0.750
H6 H 0.500 0.250 0.000

***

(3)
# Ce5Pm12Tl3, relaxed, DFT PBE
# total energy	-80.8	eV per formula unit
# energy relative to the elements	0.649	eV/atom
# magnetic moment	4.345	μB/f.u.
data_Ce5Pm12Tl3
_chemical_formula_sum 'Ce20 Pm48 Tl12'
_space_group_name_H-M_alt 'P 1'
_space_group_IT_number 1
_space_group_name_Hall 'P 1'
_cell_length_a 15.238
_cell_length_b 15.238
_cell_length_c 15.238
_cell_angle_alpha 109.47
_cell_angle_beta 109.47
_cell_angle_gamma 109.47
loop_
_atom_site_label
_atom_site_type_symbol
_atom_site_fract_x
_atom_site_fract_y
_atom_site_fract_z
Tl1 Tl 0.750 0.375 0.125
Tl2 Tl 0.875 0.750 0.125
Tl3 Tl 0.375 0.750 0.625
Tl4 Tl 0.250 0.125 0.375
Tl5 Tl 0.875 0.125 0.250
Tl6 Tl 0.375 0.625 0.250
Tl7 Tl 0.625 0.375 0.750
Tl8 Tl 0.125 0.875 0.750
Tl9 Tl 0.750 0.875 0.625
Tl10 Tl 0.625 0.250 0.375
Tl11 Tl 0.125 0.250 0.875
Tl12 Tl 0.250 0.625 0.875
Ce1 Ce 0.125 0.375 0.250
Ce2 Ce 0.000 0.500 0.000
Ce3 Ce 0.000 0.000 0.000
Ce4 Ce 0.375 0.250 0.125
Ce5 Ce 0.500 0.000 0.500
Ce6 Ce 0.500 0.500 0.000
Ce7 Ce 0.125 0.750 0.375
Ce8 Ce 0.750 0.125 0.875
Ce9 Ce 0.750 0.625 0.375
Ce10 Ce 0.375 0.125 0.750
Ce11 Ce 0.625 0.875 0.250
Ce12 Ce 0.500 0.500 0.500
Ce13 Ce 0.500 0.000 0.000
Ce14 Ce 0.000 0.000 0.500
Ce15 Ce 0.250 0.375 0.625
Ce16 Ce 0.250 0.875 0.125
Ce17 Ce 0.000 0.500 0.500
Ce18 Ce 0.875 0.250 0.625
Ce19 Ce 0.625 0.750 0.875
Ce20 Ce 0.875 0.625 0.750
Pm1 Pm 0.727 0.137 0.052
Pm2 Pm 0.325 0.552 0.415
Pm3 Pm 0.948 0.363 0.273
Pm4 Pm 0.552 0.227 0.137
Pm5 Pm 0.590 0.727 0.675
Pm6 Pm 0.948 0.585 0.175
Pm7 Pm 0.325 0.773 0.410
Pm8 Pm 0.085 0.910 0.137
Pm9 Pm 0.585 0.948 0.675
Pm10 Pm 0.727 0.590 0.175
Pm11 Pm 0.773 0.448 0.363
Pm12 Pm 0.825 0.915 0.052
Pm13 Pm 0.137 0.727 0.552
Pm14 Pm 0.363 0.415 0.090
Pm15 Pm 0.090 0.915 0.363
Pm16 Pm 0.410 0.137 0.585
Pm17 Pm 0.090 0.175 0.227
Pm18 Pm 0.448 0.675 0.085
Pm19 Pm 0.825 0.910 0.273
Pm20 Pm 0.137 0.410 0.085
Pm21 Pm 0.363 0.948 0.773
Pm22 Pm 0.585 0.637 0.410
Pm23 Pm 0.915 0.825 0.552
Pm24 Pm 0.773 0.325 0.910
Pm25 Pm 0.415 0.363 0.590
Pm26 Pm 0.085 0.175 0.448
Pm27 Pm 0.227 0.675 0.090
Pm28 Pm 0.175 0.090 0.727
Pm29 Pm 0.637 0.052 0.227
Pm30 Pm 0.863 0.590 0.915
Pm31 Pm 0.552 0.325 0.915
Pm32 Pm 0.590 0.863 0.415
Pm33 Pm 0.910 0.825 0.773
Pm34 Pm 0.910 0.085 0.637
Pm35 Pm 0.863 0.273 0.448
Pm36 Pm 0.175 0.085 0.948
Pm37 Pm 0.637 0.585 0.910
Pm38 Pm 0.415 0.052 0.325
Pm39 Pm 0.273 0.410 0.825
Pm40 Pm 0.227 0.552 0.637
Pm41 Pm 0.915 0.090 0.863
Pm42 Pm 0.675 0.227 0.590
Pm43 Pm 0.448 0.773 0.863
Pm44 Pm 0.052 0.415 0.825
Pm45 Pm 0.410 0.273 0.325
Pm46 Pm 0.052 0.637 0.727
Pm47 Pm 0.675 0.448 0.585
Pm48 Pm 0.273 0.863 0.948

***

(4)
# Li2IrCl, relaxed, DFT PBE
# uncorrected formation energy	-583.3	meV per atom
# total energy	-16.9	eV per formula unit
# energy above the lowest structure with this stoichiometry	0.000	eV per atom
# magnetic moment	0.000	μB/f.u.
data_Li2IrCl
_chemical_formula_sum 'Li2 Ir1 Cl1'
_space_group_name_H-M_alt 'P 1'
_space_group_IT_number 1
_space_group_name_Hall 'P 1'
_cell_length_a 2.939
_cell_length_b 2.939
_cell_length_c 7.782
_cell_angle_alpha 79.17
_cell_angle_beta 79.17
_cell_angle_gamma 59.97
loop_
_atom_site_label
_atom_site_type_symbol
_atom_site_fract_x
_atom_site_fract_y
_atom_site_fract_z
Cl1 Cl 0.750 0.750 0.750
Ir1 Ir 0.250 0.250 0.250
Li1 Li 0.012 0.012 0.964
Li2 Li 0.488 0.488 0.536

***

(5)
# NaOsI2O, relaxed, DFT PBE
# uncorrected formation energy	1283.5	meV per atom
# total energy	-14.2	eV per formula unit
# energy above the lowest structure with this stoichiometry	1.699	eV per atom
# magnetic moment	3.701	μB/f.u.
data_NaOsI2O
_chemical_formula_sum 'Na1 Os1 I2 O1'
_space_group_name_H-M_alt 'P 1'
_space_group_IT_number 1
_space_group_name_Hall 'P 1'
_cell_length_a 5.641
_cell_length_b 5.641
_cell_length_c 4.018
_cell_angle_alpha 90.00
_cell_angle_beta 90.00
_cell_angle_gamma 90.00
loop_
_atom_site_label
_atom_site_type_symbol
_atom_site_fract_x
_atom_site_fract_y
_atom_site_fract_z
I1 I 0.000 0.500 0.000
I2 I 0.500 0.000 0.000
Na1 Na 0.000 0.000 0.000
Os1 Os 0.500 0.500 0.500
O1 O 0.000 0.000 0.500

***

(6)
# LiTlPt3, relaxed, DFT PBE
# total energy	-21.1	eV per formula unit
# energy above the lowest structure with this stoichiometry	0.000	eV per atom
# energy relative to the elements	0.262	eV/atom
# magnetic moment	0.000	μB/f.u.
data_LiTlPt3
_chemical_formula_sum 'Li1 Tl1 Pt3'
_space_group_name_H-M_alt 'P 1'
_space_group_IT_number 1
_space_group_name_Hall 'P 1'
_cell_length_a 4.362
_cell_length_b 4.362
_cell_length_c 4.362
_cell_angle_alpha 90.00
_cell_angle_beta 90.00
_cell_angle_gamma 90.00
loop_
_atom_site_label
_atom_site_type_symbol
_atom_site_fract_x
_atom_site_fract_y
_atom_site_fract_z
Tl1 Tl 0.500 0.500 0.500
Pt1 Pt 0.000 0.500 0.000
Pt2 Pt 0.000 0.000 0.500
Pt3 Pt 0.500 0.000 0.000
Li1 Li 0.000 0.000 0.000

***

(7)
# YBe3Rh, relaxed, DFT PBE
# total energy	-26.2	eV per formula unit
# energy above the lowest structure with this stoichiometry	0.000	eV per atom
# energy relative to the elements	-0.233	eV/atom
# magnetic moment	0.000	μB/f.u.
data_YBe3Rh
_chemical_formula_sum 'Y1 Be3 Rh1'
_space_group_name_H-M_alt 'P 1'
_space_group_IT_number 1
_space_group_name_Hall 'P 1'
_cell_length_a 4.233
_cell_length_b 4.233
_cell_length_c 4.233
_cell_angle_alpha 90.00
_cell_angle_beta 90.00
_cell_angle_gamma 90.00
loop_
_atom_site_label
_atom_site_type_symbol
_atom_site_fract_x
_atom_site_fract_y
_atom_site_fract_z
Y1 Y 0.500 0.500 0.500
Be1 Be 0.000 0.500 0.000
Be2 Be 0.000 0.000 0.500
Be3 Be 0.500 0.000 0.000
Rh1 Rh 0.000 0.000 0.000

***

(8)
# SmUS3, relaxed, DFT PBE
# uncorrected formation energy	-1266.3	meV per atom
# total energy	-34.7	eV per formula unit
# energy above the lowest structure with this stoichiometry	0.470	eV per atom
# magnetic moment	3.010	μB/f.u.
data_SmUS3
_chemical_formula_sum 'Sm2 U2 S6'
_space_group_name_H-M_alt 'P 1'
_space_group_IT_number 1
_space_group_name_Hall 'P 1'
_cell_length_a 5.165
_cell_length_b 6.424
_cell_length_c 8.753
_cell_angle_alpha 111.53
_cell_angle_beta 90.00
_cell_angle_gamma 90.00
loop_
_atom_site_label
_atom_site_type_symbol
_atom_site_fract_x
_atom_site_fract_y
_atom_site_fract_z
Sm1 Sm 0.000 0.687 0.374
Sm2 Sm 0.000 0.313 0.626
U1 U 0.500 0.118 0.237
U2 U 0.500 0.882 0.763
S1 S 0.500 0.268 0.000
S2 S 0.000 0.853 0.706
S3 S 0.500 0.732 0.000
S4 S 0.500 0.500 0.500
S5 S 0.000 0.147 0.294
S6 S 0.500 0.000 0.500

***

(9)
# Tm3Cu2Ir, relaxed, DFT PBE
# total energy	-33.7	eV per formula unit
# energy above the lowest structure with this stoichiometry	0.000	eV per atom
# energy relative to the elements	-0.542	eV/atom
# magnetic moment	0.000	μB/f.u.
data_Tm3Cu2Ir
_chemical_formula_sum 'Tm6 Cu4 Ir2'
_space_group_name_H-M_alt 'P 1'
_space_group_IT_number 1
_space_group_name_Hall 'P 1'
_cell_length_a 4.811
_cell_length_b 4.811
_cell_length_c 11.817
_cell_angle_alpha 90.00
_cell_angle_beta 90.00
_cell_angle_gamma 120.00
loop_
_atom_site_label
_atom_site_type_symbol
_atom_site_fract_x
_atom_site_fract_y
_atom_site_fract_z
Tm1 Tm 0.333 0.667 0.416
Tm2 Tm 0.667 0.333 0.088
Tm3 Tm 0.000 0.000 0.746
Tm4 Tm 0.000 0.000 0.254
Tm5 Tm 0.333 0.667 0.912
Tm6 Tm 0.667 0.333 0.584
Cu1 Cu 0.000 0.000 0.500
Cu2 Cu 0.333 0.667 0.161
Cu3 Cu 0.667 0.333 0.839
Cu4 Cu 0.000 0.000 0.000
Ir1 Ir 0.333 0.667 0.665
Ir2 Ir 0.667 0.333 0.335

***

(10)
# KTlP2Cl, relaxed, DFT PBE
# uncorrected formation energy	222.5	meV per atom
# total energy	-15.0	eV per formula unit
# energy above the lowest structure with this stoichiometry	0.000	eV per atom
# magnetic moment	1.335	μB/f.u.
data_KTlP2Cl
_chemical_formula_sum 'K1 Tl1 P2 Cl1'
_space_group_name_H-M_alt 'P 1'
_space_group_IT_number 1
_space_group_name_Hall 'P 1'
_cell_length_a 5.157
_cell_length_b 5.157
_cell_length_c 6.123
_cell_angle_alpha 90.00
_cell_angle_beta 90.00
_cell_angle_gamma 90.00
loop_
_atom_site_label
_atom_site_type_symbol
_atom_site_fract_x
_atom_site_fract_y
_atom_site_fract_z
P1 P 0.000 0.500 0.000
P2 P 0.500 0.000 0.000
Tl1 Tl 0.000 0.000 0.000
K1 K 0.500 0.500 0.500
Cl1 Cl 0.000 0.000 0.500

***

> What is the magnetic moment in the tenth record?

1.335 μB/f.u.

***

> Number 5 is which compound?

NaOsI2O